3
Lattice="0.000 3.152 3.152 3.152 0.000 3.152 3.152 3.152 0.000" Properties=species:S:1:pos:R:3 comment="TaSiSb (GGA-PBE, optimized geometry)" e_form_raw_mev_per_atom=602.4 e_tot_ev_per_atom=-6.53 volume_a3_per_cell=62.62 total_magnetization_mub_per_cell=0.0 pbc="T T T"
Ta 0.000 0.000 0.000
Si 4.728 4.728 4.728
Sb 3.152 3.152 3.152